# FeCu2Au

FeCu2Au after structural relaxation (PBE, Alexandria via LeMat-Bulk).

Computed properties:
Its density of states at the Fermi level is 0.67 states/eV per atom. As for the calculated total energy: -4.846 eV/atom. The crystal system is monoclinic. The value obtained for the formation energy is 0.137 eV per atom. The value obtained for the volume is 13.728 Å³/atom. The calculated density is 11.5 g/cm³.

```
FeCu2Au
1.0
4.421 -1.356 0.000
4.421 1.356 0.000
-0.821 0.000 4.580
Fe Cu Au
1 2 1
direct
0.000 0.000 0.000 Fe
0.253 0.253 0.758 Cu
0.507 0.507 0.526 Cu
0.753 0.753 0.257 Au
```